The following is a PBE calculation of a relaxed ScMn2W2 crystal, from Alexandria.

CIF file:
```
data_ScMn2W2
_cell_length_a 4.1081
_cell_length_b 4.1081
_cell_length_c 10.1016
_cell_angle_alpha 90.00
_cell_angle_beta 90.00
_cell_angle_gamma 90.00
_space_group_name_H-M_alt 'P 1'
_space_group_IT_number 1
loop_
_space_group_symop_operation_xyz
'x,y,z'
loop_
_atom_site_label
_atom_site_fract_x
_atom_site_fract_y
_atom_site_fract_z
_atom_site_occupancy
Sc1 0.0000 0.0000 0.0000 1
Sc2 0.5000 0.5000 0.5000 1
Mn1 0.0000 0.5000 0.2500 1
Mn2 0.0000 0.5000 0.7500 1
Mn3 0.5000 0.0000 0.2500 1
Mn4 0.5000 0.0000 0.7500 1
W1 0.0000 0.0000 0.3714 1
W2 0.0000 0.0000 0.6286 1
W3 0.5000 0.5000 0.1286 1
W4 0.5000 0.5000 0.8714 1
```

***

The following is a PBE calculation of a relaxed ScMn2W crystal, from Alexandria.

CIF file:
```
data_ScMn2W
_cell_length_a 3.1527
_cell_length_b 4.4980
_cell_length_c 8.2738
_cell_angle_alpha 90.00
_cell_angle_beta 90.00
_cell_angle_gamma 90.00
_space_group_name_H-M_alt 'P 1'
_space_group_IT_number 1
loop_
_space_group_symop_operation_xyz
'x,y,z'
loop_
_atom_site_label
_atom_site_fract_x
_atom_site_fract_y
_atom_site_fract_z
_atom_site_occupancy
Sc1 0.0000 0.0000 0.0000 1
Sc2 0.5000 0.5000 0.0000 1
Mn1 0.0000 0.5000 0.2645 1
Mn2 0.0000 0.5000 0.7355 1
Mn3 0.5000 0.0000 0.2645 1
Mn4 0.5000 0.0000 0.7355 1
W1 0.0000 0.0000 0.5000 1
W2 0.5000 0.5000 0.5000 1
```

***

The following is a PBE calculation of a relaxed ScMn9W2 crystal, from Alexandria.

CIF file:
```
data_ScMn9W2
_cell_length_a 8.2892
_cell_length_b 8.2892
_cell_length_c 8.2892
_cell_angle_alpha 33.12
_cell_angle_beta 33.12
_cell_angle_gamma 33.12
_space_group_name_H-M_alt 'P 1'
_space_group_IT_number 1
loop_
_space_group_symop_operation_xyz
'x,y,z'
loop_
_atom_site_label
_atom_site_fract_x
_atom_site_fract_y
_atom_site_fract_z
_atom_site_occupancy
Sc1 0.0000 0.0000 0.0000 1
Mn1 0.0735 0.5911 0.5911 1
Mn2 0.3382 0.3382 0.3382 1
Mn3 0.4089 0.4089 0.9265 1
Mn4 0.4089 0.9265 0.4089 1
Mn5 0.5000 0.5000 0.5000 1
Mn6 0.5911 0.0735 0.5911 1
Mn7 0.5911 0.5911 0.0735 1
Mn8 0.6618 0.6618 0.6618 1
Mn9 0.9265 0.4089 0.4089 1
W1 0.1410 0.1410 0.1410 1
W2 0.8590 0.8590 0.8590 1
```

***

The following is a PBE calculation of a relaxed Sc2Mn3W crystal, from Alexandria.

CIF file:
```
data_Sc2Mn3W
_cell_length_a 8.6696
_cell_length_b 5.1908
_cell_length_c 5.0104
_cell_angle_alpha 90.00
_cell_angle_beta 125.19
_cell_angle_gamma 90.00
_space_group_name_H-M_alt 'P 1'
_space_group_IT_number 1
loop_
_space_group_symop_operation_xyz
'x,y,z'
loop_
_atom_site_label
_atom_site_fract_x
_atom_site_fract_y
_atom_site_fract_z
_atom_site_occupancy
Sc1 0.1237 0.0000 0.3749 1
Sc2 0.3763 0.5000 0.6251 1
Sc3 0.6237 0.5000 0.3749 1
Sc4 0.8763 0.0000 0.6251 1
Mn1 0.0000 0.5000 0.5000 1
Mn2 0.2500 0.2500 0.0000 1
Mn3 0.2500 0.7500 0.0000 1
Mn4 0.5000 0.0000 0.5000 1
Mn5 0.7500 0.2500 0.0000 1
Mn6 0.7500 0.7500 0.0000 1
W1 0.0000 0.5000 0.0000 1
W2 0.5000 0.0000 0.0000 1
```

***

The following is a PBE calculation of a relaxed ScMn2W crystal, from Alexandria.

CIF file:
```
data_ScMn2W
_cell_length_a 6.8689
_cell_length_b 6.8689
_cell_length_c 5.5172
_cell_angle_alpha 90.00
_cell_angle_beta 90.00
_cell_angle_gamma 90.00
_space_group_name_H-M_alt 'P 1'
_space_group_IT_number 1
loop_
_space_group_symop_operation_xyz
'x,y,z'
loop_
_atom_site_label
_atom_site_fract_x
_atom_site_fract_y
_atom_site_fract_z
_atom_site_occupancy
Sc1 0.0000 0.0000 0.0000 1
Sc2 0.0000 0.5000 0.2500 1
Sc3 0.5000 0.0000 0.7500 1
Sc4 0.5000 0.5000 0.5000 1
Mn1 0.2204 0.2500 0.6250 1
Mn2 0.2500 0.7204 0.8750 1
Mn3 0.2500 0.7796 0.3750 1
Mn4 0.2796 0.2500 0.1250 1
Mn5 0.7204 0.7500 0.1250 1
Mn6 0.7500 0.2204 0.3750 1
Mn7 0.7500 0.2796 0.8750 1
Mn8 0.7796 0.7500 0.6250 1
W1 0.0000 0.0000 0.5000 1
W2 0.0000 0.5000 0.7500 1
W3 0.5000 0.0000 0.2500 1
W4 0.5000 0.5000 0.0000 1
```

***

The following is a PBE calculation of a relaxed ScMn2W crystal, from Alexandria.

CIF file:
```
data_ScMn2W
_cell_length_a 3.0386
_cell_length_b 3.0386
_cell_length_c 6.2587
_cell_angle_alpha 90.00
_cell_angle_beta 90.00
_cell_angle_gamma 90.00
_space_group_name_H-M_alt 'P 1'
_space_group_IT_number 1
loop_
_space_group_symop_operation_xyz
'x,y,z'
loop_
_atom_site_label
_atom_site_fract_x
_atom_site_fract_y
_atom_site_fract_z
_atom_site_occupancy
Sc1 0.0000 0.0000 0.0000 1
Mn1 0.5000 0.5000 0.2746 1
Mn2 0.5000 0.5000 0.7254 1
W1 0.0000 0.0000 0.5000 1
```

***

The following is a PBE calculation of a relaxed ScMn2W crystal, from Alexandria.

CIF file:
```
data_ScMn2W
_cell_length_a 3.0147
_cell_length_b 4.2883
_cell_length_c 8.8207
_cell_angle_alpha 90.00
_cell_angle_beta 90.00
_cell_angle_gamma 90.00
_space_group_name_H-M_alt 'P 1'
_space_group_IT_number 1
loop_
_space_group_symop_operation_xyz
'x,y,z'
loop_
_atom_site_label
_atom_site_fract_x
_atom_site_fract_y
_atom_site_fract_z
_atom_site_occupancy
Sc1 0.0000 0.0000 0.0000 1
Sc2 0.5000 0.5000 0.5000 1
Mn1 0.0000 0.0000 0.4923 1
Mn2 0.0000 0.5000 0.7601 1
Mn3 0.5000 0.0000 0.2601 1
Mn4 0.5000 0.5000 0.9923 1
W1 0.0000 0.5000 0.2302 1
W2 0.5000 0.0000 0.7302 1
```

***

The following is a PBE calculation of a relaxed Sc4MnW crystal, from Alexandria.

CIF file:
```
data_Sc4MnW
_cell_length_a 5.5727
_cell_length_b 5.5727
_cell_length_c 5.5727
_cell_angle_alpha 60.00
_cell_angle_beta 60.00
_cell_angle_gamma 60.00
_space_group_name_H-M_alt 'P 1'
_space_group_IT_number 1
loop_
_space_group_symop_operation_xyz
'x,y,z'
loop_
_atom_site_label
_atom_site_fract_x
_atom_site_fract_y
_atom_site_fract_z
_atom_site_occupancy
Sc1 0.1236 0.1236 0.1236 1
Sc2 0.1236 0.1236 0.6292 1
Sc3 0.1236 0.6292 0.1236 1
Sc4 0.6292 0.1236 0.1236 1
Mn1 0.5000 0.5000 0.5000 1
W1 0.7500 0.7500 0.7500 1
```

***

The following is a PBE calculation of a relaxed ScMn2W crystal, from Alexandria.

CIF file:
```
data_ScMn2W
_cell_length_a 2.7567
_cell_length_b 2.7567
_cell_length_c 7.6717
_cell_angle_alpha 90.00
_cell_angle_beta 90.00
_cell_angle_gamma 90.00
_space_group_name_H-M_alt 'P 1'
_space_group_IT_number 1
loop_
_space_group_symop_operation_xyz
'x,y,z'
loop_
_atom_site_label
_atom_site_fract_x
_atom_site_fract_y
_atom_site_fract_z
_atom_site_occupancy
Sc1 0.0000 0.0000 0.0000 1
Mn1 0.0000 0.0000 0.5725 1
Mn2 0.5000 0.5000 0.7301 1
W1 0.5000 0.5000 0.3159 1
```

***

The following is a PBE calculation of a relaxed Sc3Mn8W crystal, from Alexandria.

CIF file:
```
data_Sc3Mn8W
_cell_length_a 8.4494
_cell_length_b 8.4494
_cell_length_c 8.4494
_cell_angle_alpha 33.39
_cell_angle_beta 33.39
_cell_angle_gamma 33.39
_space_group_name_H-M_alt 'P 1'
_space_group_IT_number 1
loop_
_space_group_symop_operation_xyz
'x,y,z'
loop_
_atom_site_label
_atom_site_fract_x
_atom_site_fract_y
_atom_site_fract_z
_atom_site_occupancy
Sc1 0.0000 0.0000 0.0000 1
Sc2 0.1255 0.1255 0.1255 1
Sc3 0.5003 0.5003 0.5003 1
Mn1 0.0578 0.5621 0.5621 1
Mn2 0.0640 0.0640 0.5662 1
Mn3 0.0640 0.5662 0.0640 1
Mn4 0.3125 0.3125 0.3125 1
Mn5 0.5621 0.0578 0.5621 1
Mn6 0.5621 0.5621 0.0578 1
Mn7 0.5662 0.0640 0.0640 1
Mn8 0.8129 0.8129 0.8129 1
W1 0.6247 0.6247 0.6247 1
```

***

The following is a PBE calculation of a relaxed ScMnW3 crystal, from Alexandria.

CIF file:
```
data_ScMnW3
_cell_length_a 4.5386
_cell_length_b 4.5386
_cell_length_c 4.5386
_cell_angle_alpha 90.00
_cell_angle_beta 90.00
_cell_angle_gamma 90.00
_space_group_name_H-M_alt 'P 1'
_space_group_IT_number 1
loop_
_space_group_symop_operation_xyz
'x,y,z'
loop_
_atom_site_label
_atom_site_fract_x
_atom_site_fract_y
_atom_site_fract_z
_atom_site_occupancy
Sc1 0.0000 0.0000 0.0000 1
Mn1 0.5000 0.5000 0.5000 1
W1 0.0000 0.0000 0.5000 1
W2 0.0000 0.5000 0.0000 1
W3 0.5000 0.0000 0.0000 1
```

***

The following is a PBE calculation of a relaxed ScMn3W crystal, from Alexandria.

CIF file:
```
data_ScMn3W
_cell_length_a 4.5996
_cell_length_b 4.5996
_cell_length_c 4.5996
_cell_angle_alpha 90.00
_cell_angle_beta 90.00
_cell_angle_gamma 90.00
_space_group_name_H-M_alt 'P 1'
_space_group_IT_number 1
loop_
_space_group_symop_operation_xyz
'x,y,z'
loop_
_atom_site_label
_atom_site_fract_x
_atom_site_fract_y
_atom_site_fract_z
_atom_site_occupancy
Sc1 0.0000 0.0000 0.0000 1
Mn1 0.0000 0.5000 0.5000 1
Mn2 0.5000 0.0000 0.5000 1
Mn3 0.5000 0.5000 0.0000 1
W1 0.5000 0.5000 0.5000 1
```

***

Number 1: energy relative to the elements 0.449 eV/atom, total moment 0.19 μB per atom, total DFT energy (no corrections) -48.3 eV/f.u.. Number 2: energy relative to the elements 0.273 eV/atom, total moment 0.35 μB per atom, total DFT energy (no corrections) -36.5 eV/f.u.. Number 3: energy relative to the elements -0.026 eV/atom, total moment 0.11 μB per atom, total DFT energy (no corrections) -115.1 eV/f.u.. Number 4: energy relative to the elements -0.074 eV/atom, total moment 0.21 μB per atom, total DFT energy (no corrections) -53.6 eV/f.u.. Number 5: energy relative to the elements 0.617 eV/atom, total moment 0.73 μB per atom, total DFT energy (no corrections) -35.2 eV/f.u.. Number 6: energy relative to the elements -0.003 eV/atom, total moment 0.14 μB per atom, total DFT energy (no corrections) -37.6 eV/f.u.. Number 7: energy relative to the elements 0.148 eV/atom, total moment 0.00 μB per atom, total DFT energy (no corrections) -37.0 eV/f.u.. Number 8: energy relative to the elements 0.763 eV/atom, total moment 0.65 μB per atom, total DFT energy (no corrections) -42.9 eV/f.u.. Number 9: energy relative to the elements 0.174 eV/atom, total moment 0.00 μB per atom, total DFT energy (no corrections) -36.9 eV/f.u.. Number 10: energy relative to the elements -0.089 eV/atom, total moment 0.41 μB per atom, total DFT energy (no corrections) -106.4 eV/f.u.. Number 11: energy relative to the elements 2.778 eV/atom, total moment 0.02 μB per atom, total DFT energy (no corrections) -40.5 eV/f.u.. Number 12: energy relative to the elements 1.010 eV/atom, total moment 1.37 μB per atom, total DFT energy (no corrections) -41.7 eV/f.u..